The following is a DFT calculation (GGA-PBE) of a geometry-optimized K2RbNaAg structure.

a = 6.9266 Å, b = 6.9266 Å, c = 5.7466 Å
α = 90.00°, β = 90.00°, γ = 90.00°
Closest atoms and distances in Å follow each position.
Positions (direct):
K: 0.0000 0.5000 0.0000  2 Na 3.46
K: 0.5000 0.0000 0.0000  2 Na 3.46
Rb: 0.0000 0.0000 0.5000  8 K 4.50, 4 Ag 4.90
Na: 0.5000 0.5000 0.0000  2 Ag 2.87
Ag: 0.5000 0.5000 0.5000  2 Na 2.87

Computed properties:
As for the energy above the most stable polymorph in this dataset: 0.1203 eV/atom. The value obtained for the volume is 55.14 Å³ per atom. The symmetry is P4/mmm (123). For the formation energy, the calculation gives 0.17 eV per atom. The value obtained for the total DFT energy (no corrections) is -1.29 eV/atom.